# Pr3Ag2Pd6 (PBE, relaxed)
# spin magnetization	0.00	Bohr magnetons per cell
# formation energy	-601	meV per atom
# DOS at the Fermi energy	0.333	states/eV/atom
# crystal system	cubic
# symmetry	Im-3m, No. 229
# V	21.4	Å³/atom
data_Pr3Ag2Pd6
_chemical_formula_sum 'Pr6 Ag4 Pd12'
_space_group_name_H-M_alt 'P 1'
_space_group_IT_number 1
_cell_length_a 8.4897
_cell_length_b 8.4897
_cell_length_c 8.4897
_cell_angle_alpha 109.47
_cell_angle_beta 109.47
_cell_angle_gamma 109.47
loop_
_space_group_symop_operation_xyz
'x,y,z'
loop_
_atom_site_label
_atom_site_type_symbol
_atom_site_fract_x
_atom_site_fract_y
_atom_site_fract_z
Pr1 Pr 0.0000 0.2991 0.2991
Pr2 Pr 0.0000 0.7009 0.7009
Pr3 Pr 0.2991 0.0000 0.2991
Pr4 Pr 0.2991 0.2991 0.0000
Pr5 Pr 0.7009 0.0000 0.7009
Pr6 Pr 0.7009 0.7009 0.0000
Ag1 Ag 0.0000 0.0000 0.5000
Ag2 Ag 0.0000 0.5000 0.0000
Ag3 Ag 0.5000 0.0000 0.0000
Ag4 Ag 0.5000 0.5000 0.5000
Pd1 Pd 0.0000 0.3442 0.6558
Pd2 Pd 0.0000 0.6558 0.3442
Pd3 Pd 0.3117 0.6558 0.6558
Pd4 Pd 0.3442 0.0000 0.6558
Pd5 Pd 0.3442 0.3442 0.6883
Pd6 Pd 0.3442 0.6558 0.0000
Pd7 Pd 0.3442 0.6883 0.3442
Pd8 Pd 0.6558 0.0000 0.3442
Pd9 Pd 0.6558 0.3117 0.6558
Pd10 Pd 0.6558 0.3442 0.0000
Pd11 Pd 0.6558 0.6558 0.3117
Pd12 Pd 0.6883 0.3442 0.3442